No. 1
First-principles (GGA-PBE) data for a geometry-optimized Cs2PuZn2S4 structure, as listed in Alexandria via LeMat-Bulk.

Cell lengths 4.1386, 8.1642, 7.9645 Å; angles 107.27, 105.06, 90.00 degrees
Fractional coordinates of all 9 atoms:
Pu 0.0000 0.0000 0.0000
Zn 0.3302 0.0227 0.6605
S 0.5243 0.7773 0.0485
Cs 0.1322 0.5480 0.2643
Zn 0.6698 0.9773 0.3395
S 0.2025 0.1457 0.4050
S 0.7975 0.8543 0.5950
Cs 0.8678 0.4520 0.7357
S 0.4757 0.2227 0.9515

SG   C2/m (12)
E_form (uncorrected)   -1081 meV/atom
Magnetization   5.91 μB/f.u.

---

No. 2
First-principles (GGA-PBE) data for a geometry-optimized Cs2PuZnS4 structure, as listed in Alexandria via LeMat-Bulk.

Cell lengths 6.2600, 7.9337, 13.2710 Å; angles 84.66, 76.36, 66.76 degrees
Fractional coordinates of all 16 atoms:
S 0.5842 0.1935 0.0986
Pu 0.7500 0.5000 0.5000
S 0.8737 0.6935 0.5986
Cs 0.5714 0.5000 0.8571
S 0.2223 0.1935 0.9014
S 0.4328 0.6935 0.4014
Pu 0.0000 0.0000 0.0000
Cs 0.9286 0.5000 0.1429
Cs 0.1786 0.0000 0.6429
Cs 0.8214 0.0000 0.3571
Zn 0.2500 0.5000 0.5000
S 0.3172 0.8065 0.0986
S 0.5277 0.3065 0.5986
Zn 0.5000 0.0000 0.0000
S 0.8763 0.8065 0.9014
S 0.1658 0.3065 0.4014

SG   Fddd (70)
E_form (uncorrected)   -1073 meV/atom
Magnetization   4.00 μB/f.u.

---

No. 3
First-principles (GGA-PBE) data for a geometry-optimized CsPuZnS3 structure, as listed in Alexandria via LeMat-Bulk.

Cell lengths 4.0889, 9.4011, 9.9174 Å; angles 110.33, 90.00, 90.00 degrees
Fractional coordinates of all 12 atoms:
S 0.2500 0.8190 0.4598
Cs 0.2500 0.2124 0.2391
Zn 0.2500 0.0840 0.6109
Pu 0.2500 0.6685 0.1442
S 0.7500 0.1810 0.5402
S 0.2500 0.1277 0.8545
Pu 0.7500 0.3315 0.8558
S 0.7500 0.4748 0.1460
Cs 0.7500 0.7876 0.7609
S 0.7500 0.8723 0.1455
S 0.2500 0.5252 0.8540
Zn 0.7500 0.9160 0.3891

SG   P2_1/m (11)
E_form (uncorrected)   -1298 meV/atom
Magnetization   5.00 μB/f.u.

---

No. 4
First-principles (GGA-PBE) data for a geometry-optimized Cs3PuSc2Se6 structure, as listed in Alexandria via LeMat-Bulk.

Cell lengths 7.2289, 7.2289, 8.6354 Å; angles 98.03, 98.03, 120.00 degrees
Fractional coordinates of all 12 atoms:
Cs 0.1646 0.8354 0.5000
Cs 0.8354 0.1646 0.5000
Sc 0.3332 0.6668 0.0000
Se 0.2889 0.2889 0.8216
Se 0.4082 0.0598 0.1793
Cs 0.5000 0.5000 0.5000
Sc 0.6668 0.3332 0.0000
Pu 0.0000 0.0000 0.0000
Se 0.0598 0.4082 0.1793
Se 0.5918 0.9402 0.8207
Se 0.7111 0.7111 0.1784
Se 0.9402 0.5918 0.8207

SG   C2/m (12)
E_form (uncorrected)   -1506 meV/atom
Magnetization   5.00 μB/f.u.

---

No. 5
First-principles (GGA-PBE) data for a geometry-optimized Cs3Pu3ScTe8 structure, as listed in Alexandria via LeMat-Bulk.

Cell lengths 8.9733, 8.9734, 10.4424 Å; angles 115.46, 90.00, 120.00 degrees
Fractional coordinates of all 15 atoms:
Cs 0.5000 0.5000 0.0000
Sc 0.0000 0.0000 0.5000
Te 0.7390 0.9603 0.6817
Te 0.7299 0.4598 0.6895
Te 0.2610 0.0397 0.3183
Te 0.7787 0.0397 0.3183
Cs 0.0000 0.5000 0.0000
Te 0.2215 0.4429 0.6816
Te 0.7785 0.5571 0.3184
Cs 0.0000 0.0000 0.0000
Pu 0.0000 0.5000 0.5000
Pu 0.5000 0.5000 0.5000
Pu 0.5000 0.0000 0.5000
Te 0.2701 0.5402 0.3105
Te 0.2213 0.9603 0.6817

SG   R-3m (166)
E_form (uncorrected)   -1093 meV/atom
Magnetization   14.00 μB/f.u.

---

No. 6
First-principles (GGA-PBE) data for a geometry-optimized CsPu6Se12 structure, as listed in Alexandria via LeMat-Bulk.

Cell lengths 8.5186, 8.5186, 8.5186 Å; angles 105.42, 105.42, 105.42 degrees
Fractional coordinates of all 19 atoms:
Se 0.5000 0.1314 0.8686
Pu 0.2497 0.6564 0.2497
Pu 0.7503 0.3436 0.7503
Se 0.5610 0.5610 0.8184
Se 0.8686 0.5000 0.1314
Pu 0.2497 0.2497 0.6564
Pu 0.3436 0.7503 0.7503
Se 0.1816 0.4390 0.4390
Se 0.8184 0.5610 0.5610
Se 0.4390 0.4390 0.1816
Se 0.5610 0.8184 0.5610
Se 0.1314 0.8686 0.5000
Se 0.4390 0.1816 0.4390
Se 0.5000 0.8686 0.1314
Se 0.1314 0.5000 0.8686
Pu 0.7503 0.7503 0.3436
Cs 0.0000 0.0000 0.0000
Pu 0.6564 0.2497 0.2497
Se 0.8686 0.1314 0.5000

SG   R-3m (166)
E_form (uncorrected)   -1184 meV/atom
Magnetization   25.17 μB/f.u.